RbSn2As2, relaxed, DFT GGA-PBE; calculated total energy = -3.82 eV/atom; formation energy = -0.167 eV per atom; SG = C2/c (15); spin magnetization = 0.00 μB per cell; crystal system = monoclinic; N(E_F) = 2.842 states/eV per cell
1.0
4.9738 -5.7153 0.0000
4.9738 5.7153 0.0000
-3.8688 0.0000 6.1278
Rb Sn As
2 4 4
Direct
0.1223 0.8777 0.7500
0.8777 0.1223 0.2500
0.2259 0.4580 0.9740
0.4580 0.2259 0.4740
0.5420 0.7741 0.5260
0.7741 0.5420 0.0260
0.1972 0.8028 0.2500
0.4247 0.5753 0.7500
0.5753 0.4247 0.2500
0.8028 0.1972 0.7500